# LiLaSc2In4, optimized geometry, DFT PBE-GGA
data_LiLaSc2In4
_cell_length_a 5.109
_cell_length_b 5.109
_cell_length_c 9.198
_cell_angle_alpha 73.88
_cell_angle_beta 73.88
_cell_angle_gamma 60.00
_symmetry_space_group_name_H-M 'P 1'
_symmetry_Int_Tables_number 1
loop_
_symmetry_equiv_pos_as_xyz
'x,y,z'
loop_
_atom_site_label
_atom_site_type_symbol
_atom_site_fract_x
_atom_site_fract_y
_atom_site_fract_z
La1 La 0.000 0.000 0.000
Li1 Li 0.500 0.500 0.500
In1 In 0.130 0.130 0.610
In2 In 0.616 0.616 0.153
In3 In 0.870 0.870 0.390
In4 In 0.384 0.384 0.847
Sc1 Sc 0.247 0.247 0.260
Sc2 Sc 0.753 0.753 0.740
# SG = No. 166
# DFT formation energy = -0.372 eV per atom
# Mass density = 5.86 Mg/m³
# Uncorrected energy = -33.43 eV per cell
# DOS at the Fermi energy = 0.577 states/eV per atom



# Ag2HgPd2Au2, optimized geometry, DFT PBE-GGA
data_Ag2HgPd2Au2
_cell_length_a 4.842
_cell_length_b 4.582
_cell_length_c 7.411
_cell_angle_alpha 112.62
_cell_angle_beta 90.00
_cell_angle_gamma 121.90
_symmetry_space_group_name_H-M 'P 1'
_symmetry_Int_Tables_number 1
loop_
_symmetry_equiv_pos_as_xyz
'x,y,z'
loop_
_atom_site_label
_atom_site_type_symbol
_atom_site_fract_x
_atom_site_fract_y
_atom_site_fract_z
Ag1 Ag 0.721 0.441 0.156
Ag2 Ag 0.279 0.559 0.844
Pd1 Pd 0.857 0.715 0.577
Pd2 Pd 0.143 0.285 0.423
Au1 Au 0.435 0.870 0.292
Au2 Au 0.565 0.130 0.708
Hg1 Hg 0.000 0.000 0.000
# SG = No. 12
# DFT formation energy = -0.031 eV per atom
# Mass density = 13.65 Mg/m³
# Uncorrected energy = -23.16 eV per cell
# DOS at the Fermi energy = 0.360 states/eV per atom



# Ba2Ni2Ge, optimized geometry, DFT PBE-GGA
data_Ba2Ni2Ge
_cell_length_a 7.191
_cell_length_b 7.191
_cell_length_c 4.729
_cell_angle_alpha 90.00
_cell_angle_beta 90.00
_cell_angle_gamma 90.00
_symmetry_space_group_name_H-M 'P 1'
_symmetry_Int_Tables_number 1
loop_
_symmetry_equiv_pos_as_xyz
'x,y,z'
loop_
_atom_site_label
_atom_site_type_symbol
_atom_site_fract_x
_atom_site_fract_y
_atom_site_fract_z
Ge1 Ge 0.500 0.500 0.000
Ge2 Ge 0.000 0.000 0.000
Ba1 Ba 0.813 0.313 0.500
Ba2 Ba 0.313 0.187 0.500
Ba3 Ba 0.187 0.687 0.500
Ba4 Ba 0.687 0.813 0.500
Ni1 Ni 0.882 0.618 0.000
Ni2 Ni 0.118 0.382 0.000
Ni3 Ni 0.618 0.118 0.000
Ni4 Ni 0.382 0.882 0.000
# SG = No. 127
# DFT formation energy = 0.020 eV per atom
# Mass density = 6.31 Mg/m³
# Uncorrected energy = -39.85 eV per cell
# DOS at the Fermi energy = 0.853 states/eV per atom



# LaTeAsI2, optimized geometry, DFT PBE-GGA
data_LaTeAsI2
_cell_length_a 5.572
_cell_length_b 5.572
_cell_length_c 5.693
_cell_angle_alpha 90.00
_cell_angle_beta 90.00
_cell_angle_gamma 90.00
_symmetry_space_group_name_H-M 'P 1'
_symmetry_Int_Tables_number 1
loop_
_symmetry_equiv_pos_as_xyz
'x,y,z'
loop_
_atom_site_label
_atom_site_type_symbol
_atom_site_fract_x
_atom_site_fract_y
_atom_site_fract_z
As1 As 0.000 0.000 0.000
La1 La 0.500 0.500 0.500
I1 I 0.000 0.500 0.000
I2 I 0.500 0.000 0.000
Te1 Te 0.000 0.000 0.500
# SG = No. 123
# Energy relative to the lowest polymorph listed for this composition = 0.031 eV per atom
# Mass density = 5.59 Mg/m³
# Energy relative to the elements, uncorrected = -0.237 eV/atom
# Uncorrected energy = -17.00 eV per cell
# DOS at the Fermi energy = 1.571 states/eV per atom



# YTl2Se, optimized geometry, DFT PBE-GGA
data_YTl2Se
_cell_length_a 8.653
_cell_length_b 8.653
_cell_length_c 6.836
_cell_angle_alpha 50.74
_cell_angle_beta 50.74
_cell_angle_gamma 90.00
_symmetry_space_group_name_H-M 'P 1'
_symmetry_Int_Tables_number 1
loop_
_symmetry_equiv_pos_as_xyz
'x,y,z'
loop_
_atom_site_label
_atom_site_type_symbol
_atom_site_fract_x
_atom_site_fract_y
_atom_site_fract_z
Se1 Se 0.500 0.500 0.000
Se2 Se 0.250 0.750 0.500
Tl1 Tl 0.609 0.125 0.250
Tl2 Tl 0.875 0.859 0.750
Tl3 Tl 0.375 0.391 0.750
Tl4 Tl 0.141 0.625 0.250
Y1 Y 0.750 0.250 0.500
Y2 Y 0.000 0.000 0.000
# SG = No. 122
# Energy relative to the lowest polymorph listed for this composition = 0.369 eV per atom
# Mass density = 8.39 Mg/m³
# Energy relative to the elements, uncorrected = -0.324 eV/atom
# Uncorrected energy = -31.95 eV per cell
# DOS at the Fermi energy = 0.648 states/eV per atom



# PmUAgO6, optimized geometry, DFT PBE-GGA
data_PmUAgO6
_cell_length_a 7.036
_cell_length_b 7.852
_cell_length_c 7.418
_cell_angle_alpha 121.95
_cell_angle_beta 118.31
_cell_angle_gamma 90.00
_symmetry_space_group_name_H-M 'P 1'
_symmetry_Int_Tables_number 1
loop_
_symmetry_equiv_pos_as_xyz
'x,y,z'
loop_
_atom_site_label
_atom_site_type_symbol
_atom_site_fract_x
_atom_site_fract_y
_atom_site_fract_z
O1 O 0.112 0.862 0.224
O2 O 0.421 0.169 0.252
O3 O 0.401 0.151 0.803
O4 O 0.888 0.138 0.776
O5 O 0.169 0.417 0.748
O6 O 0.169 0.831 0.748
O7 O 0.579 0.831 0.748
O8 O 0.831 0.583 0.252
O9 O 0.579 0.417 0.748
O10 O 0.599 0.849 0.197
O11 O 0.831 0.169 0.252
O12 O 0.421 0.583 0.252
Ag1 Ag 0.095 0.345 0.191
Ag2 Ag 0.905 0.655 0.809
Pm1 Pm 0.500 0.000 0.500
Pm2 Pm 0.000 0.000 0.500
U1 U 0.500 0.000 0.000
U2 U 0.500 0.500 0.000
# SG = No. 74
# Mass density = 6.76 Mg/m³
# Energy relative to the elements, uncorrected = -2.054 eV/atom
# Uncorrected energy = -134.26 eV per cell
# DOS at the Fermi energy = 0.776 states/eV per atom



# Nd6Ni2HI3, optimized geometry, DFT PBE-GGA
data_Nd6Ni2HI3
_cell_length_a 7.133
_cell_length_b 7.133
_cell_length_c 8.288
_cell_angle_alpha 98.23
_cell_angle_beta 98.23
_cell_angle_gamma 120.10
_symmetry_space_group_name_H-M 'P 1'
_symmetry_Int_Tables_number 1
loop_
_symmetry_equiv_pos_as_xyz
'x,y,z'
loop_
_atom_site_label
_atom_site_type_symbol
_atom_site_fract_x
_atom_site_fract_y
_atom_site_fract_z
Nd1 Nd 0.404 0.062 0.184
Nd2 Nd 0.282 0.282 0.818
Nd3 Nd 0.596 0.938 0.816
Nd4 Nd 0.938 0.596 0.816
Nd5 Nd 0.062 0.404 0.184
Nd6 Nd 0.718 0.718 0.182
Ni1 Ni 0.333 0.667 0.000
Ni2 Ni 0.667 0.333 0.000
H1 H 0.000 0.000 0.000
I1 I 0.833 0.167 0.500
I2 I 0.500 0.500 0.500
I3 I 0.167 0.833 0.500
# SG = No. 12
# Mass density = 6.48 Mg/m³
# Uncorrected energy = -55.55 eV per cell
# DOS at the Fermi energy = 0.827 states/eV per atom



# BaPuB2O8, optimized geometry, DFT PBE-GGA
data_BaPuB2O8
_cell_length_a 4.879
_cell_length_b 4.879
_cell_length_c 7.913
_cell_angle_alpha 87.56
_cell_angle_beta 87.56
_cell_angle_gamma 64.58
_symmetry_space_group_name_H-M 'P 1'
_symmetry_Int_Tables_number 1
loop_
_symmetry_equiv_pos_as_xyz
'x,y,z'
loop_
_atom_site_label
_atom_site_type_symbol
_atom_site_fract_x
_atom_site_fract_y
_atom_site_fract_z
B1 B 0.636 0.636 0.218
B2 B 0.364 0.364 0.782
O1 O 0.228 0.694 0.813
O2 O 0.773 0.773 0.077
O3 O 0.772 0.306 0.187
O4 O 0.306 0.772 0.187
O5 O 0.227 0.227 0.923
O6 O 0.694 0.228 0.813
O7 O 0.310 0.310 0.617
O8 O 0.690 0.690 0.383
Ba1 Ba 0.000 0.000 0.500
Pu1 Pu 0.000 0.000 0.000
# SG = No. 12
# Mass density = 5.19 Mg/m³
# Energy relative to the elements, uncorrected = -2.224 eV/atom
# Uncorrected energy = -95.96 eV per cell
# DOS at the Fermi energy = 0.805 states/eV per atom



# TaSiRu4, optimized geometry, DFT PBE-GGA
data_TaSiRu4
_cell_length_a 4.065
_cell_length_b 4.065
_cell_length_c 5.973
_cell_angle_alpha 89.97
_cell_angle_beta 89.98
_cell_angle_gamma 90.00
_symmetry_space_group_name_H-M 'P 1'
_symmetry_Int_Tables_number 1
loop_
_symmetry_equiv_pos_as_xyz
'x,y,z'
loop_
_atom_site_label
_atom_site_type_symbol
_atom_site_fract_x
_atom_site_fract_y
_atom_site_fract_z
Ru1 Ru 0.001 0.497 0.271
Ru2 Ru 0.001 0.497 0.726
Ru3 Ru 0.501 0.997 0.726
Ru4 Ru 0.501 0.997 0.271
Ta1 Ta 0.501 0.497 0.998
Si1 Si 0.001 0.997 0.498
# SG = No. 123
# Energy relative to the lowest polymorph listed for this composition = 0.000 eV per atom
# Mass density = 10.32 Mg/m³
# Energy relative to the elements, uncorrected = 0.132 eV/atom
# Uncorrected energy = -53.59 eV per cell
# DOS at the Fermi energy = 1.551 states/eV per atom



# LaZnSe, optimized geometry, DFT PBE-GGA
data_LaZnSe
_cell_length_a 5.785
_cell_length_b 4.191
_cell_length_c 7.259
_cell_angle_alpha 90.00
_cell_angle_beta 114.72
_cell_angle_gamma 90.00
_symmetry_space_group_name_H-M 'P 1'
_symmetry_Int_Tables_number 1
loop_
_symmetry_equiv_pos_as_xyz
'x,y,z'
loop_
_atom_site_label
_atom_site_type_symbol
_atom_site_fract_x
_atom_site_fract_y
_atom_site_fract_z
Se1 Se 0.402 0.000 0.821
Se2 Se 0.402 0.500 0.321
Zn1 Zn 0.645 0.000 0.569
Zn2 Zn 0.645 0.500 0.069
La1 La 0.028 0.500 0.530
La2 La 0.028 0.000 0.030
# SG = No. 160
# Energy relative to the lowest polymorph listed for this composition = 0.302 eV per atom
# Mass density = 5.89 Mg/m³
# Energy relative to the elements, uncorrected = -0.868 eV/atom
# Uncorrected energy = -24.58 eV per cell
# DOS at the Fermi energy = 0.291 states/eV per atom



# LaZr2Au, optimized geometry, DFT PBE-GGA
data_LaZr2Au
_cell_length_a 5.005
_cell_length_b 5.005
_cell_length_c 5.005
_cell_angle_alpha 60.00
_cell_angle_beta 60.00
_cell_angle_gamma 60.00
_symmetry_space_group_name_H-M 'P 1'
_symmetry_Int_Tables_number 1
loop_
_symmetry_equiv_pos_as_xyz
'x,y,z'
loop_
_atom_site_label
_atom_site_type_symbol
_atom_site_fract_x
_atom_site_fract_y
_atom_site_fract_z
La1 La 0.000 0.000 0.000
Zr1 Zr 0.250 0.250 0.250
Zr2 Zr 0.750 0.750 0.750
Au1 Au 0.500 0.500 0.500
# SG = No. 225
# DFT formation energy = -0.048 eV per atom
# Energy relative to the lowest polymorph listed for this composition = 0.237 eV per atom
# Mass density = 9.71 Mg/m³
# Uncorrected energy = -25.49 eV per cell
# DOS at the Fermi energy = 1.336 states/eV per atom



# NaPt, optimized geometry, DFT PBE-GGA
data_NaPt
_cell_length_a 5.186
_cell_length_b 15.082
_cell_length_c 8.078
_cell_angle_alpha 90.00
_cell_angle_beta 90.00
_cell_angle_gamma 90.00
_symmetry_space_group_name_H-M 'P 1'
_symmetry_Int_Tables_number 1
loop_
_symmetry_equiv_pos_as_xyz
'x,y,z'
loop_
_atom_site_label
_atom_site_type_symbol
_atom_site_fract_x
_atom_site_fract_y
_atom_site_fract_z
Pt1 Pt 0.250 0.836 0.250
Pt2 Pt 0.250 0.164 0.750
Pt3 Pt 0.750 0.164 0.250
Pt4 Pt 0.500 0.914 0.500
Pt5 Pt 0.000 0.414 0.500
Pt6 Pt 0.000 0.086 0.000
Pt7 Pt 0.750 0.336 0.250
Pt8 Pt 0.000 0.586 0.500
Pt9 Pt 0.500 0.586 0.000
Pt10 Pt 0.750 0.836 0.750
Pt11 Pt 0.500 0.086 0.500
Pt12 Pt 0.000 0.914 0.000
Pt13 Pt 0.250 0.664 0.250
Pt14 Pt 0.500 0.414 0.000
Pt15 Pt 0.250 0.336 0.750
Pt16 Pt 0.750 0.664 0.750
Na1 Na 0.750 0.250 0.912
Na2 Na 0.500 0.500 0.338
Na3 Na 0.250 0.750 0.912
Na4 Na 0.000 0.500 0.162
Na5 Na 0.000 0.000 0.338
Na6 Na 0.250 0.250 0.088
Na7 Na 0.000 0.000 0.662
Na8 Na 0.750 0.750 0.088
Na9 Na 0.750 0.750 0.412
Na10 Na 0.500 0.500 0.662
Na11 Na 0.500 0.000 0.838
Na12 Na 0.250 0.250 0.412
Na13 Na 0.500 0.000 0.162
Na14 Na 0.250 0.750 0.588
Na15 Na 0.750 0.250 0.588
Na16 Na 0.000 0.500 0.838
# SG = No. 70
# DFT formation energy = -0.102 eV per atom
# Mass density = 9.17 Mg/m³
# Uncorrected energy = -121.03 eV per cell
# DOS at the Fermi energy = 0.499 states/eV per atom